# 1
{
  "formula": "MoC2",
  "functional": "PBE",
  "state": "optimized geometry",
  "lattice_angstrom": [[3.122, 0.000, 0.000], [-1.561, 2.704, 0.000], [0.000, 0.000, 4.882]],
  "species": ["Mo", "C", "C"],
  "frac_coords": [[0.000, 0.000, 0.000], [0.333, 0.667, 0.217], [0.667, 0.333, 0.783]],
  "polymorph_energy_ev_per_atom": 1.250,
  "sg": "P-3m1",
  "e_form_mev_per_atom": 1768.8
}

# 2
{
  "formula": "Ag5Bi2Cl12",
  "functional": "PBE",
  "state": "optimized geometry",
  "lattice_angstrom": [[7.040, -3.820, 0.000], [7.040, 3.820, 0.000], [-2.606, 0.000, 9.717]],
  "species": ["Ag", "Ag", "Ag", "Ag", "Ag", "Bi", "Bi", "Cl", "Cl", "Cl", "Cl", "Cl", "Cl", "Cl", "Cl", "Cl", "Cl", "Cl", "Cl"],
  "frac_coords": [[0.000, 0.000, 0.000], [0.286, 0.286, 0.816], [0.288, 0.288, 0.118], [0.712, 0.712, 0.882], [0.714, 0.714, 0.184], [0.250, 0.750, 0.500], [0.750, 0.250, 0.500], [0.055, 0.055, 0.340], [0.071, 0.558, 0.332], [0.112, 0.630, 0.978], [0.370, 0.888, 0.022], [0.442, 0.929, 0.668], [0.449, 0.449, 0.667], [0.551, 0.551, 0.333], [0.558, 0.071, 0.332], [0.630, 0.112, 0.978], [0.888, 0.370, 0.022], [0.929, 0.442, 0.668], [0.945, 0.945, 0.660]],
  "formation_energy_uncorrected_ev_per_atom": -0.63,
  "sg": "C2/m"
}

# 3
{
  "formula": "CeRe3P3",
  "functional": "PBE",
  "state": "optimized geometry",
  "lattice_angstrom": [[3.353, 1.936, 6.726], [-3.353, 1.936, 6.726], [0.000, -3.872, 6.726]],
  "species": ["Ce", "Ce", "Re", "Re", "Re", "Re", "Re", "Re", "P", "P", "P", "P", "P", "P"],
  "frac_coords": [[0.166, 0.166, 0.166], [0.834, 0.834, 0.834], [0.001, 0.731, 0.398], [0.269, 0.602, 0.999], [0.398, 0.001, 0.731], [0.602, 0.999, 0.269], [0.731, 0.398, 0.001], [0.999, 0.269, 0.602], [0.123, 0.394, 0.712], [0.288, 0.877, 0.606], [0.394, 0.712, 0.123], [0.606, 0.288, 0.877], [0.712, 0.123, 0.394], [0.877, 0.606, 0.288]],
  "sg": "R-3",
  "e_form_mev_per_atom": -388.9
}

Sequential density output: 4.832 4.393 10.035 g/cm3
Sequential magnetization output: 0.00 0.00 0.61 μB/f.u.
Sequential raw total energy output: -7.991 -2.954 -8.890 eV per atom